The following is a PBE calculation of Nd2Si3AgAu4 after structural relaxation, from the Alexandria database.

The space group is P-4m2 (No. 115) and the conventional cell measures 4.346, 4.346 and 10.690 Å, with angles of 90.00, 90.00 and 90.00 degrees. Symmetry generates all atoms from Nd at (0.000, 0.500, 0.244), Si at (0.000, 0.500, 0.870), Si at (0.500, 0.500, 0.500), Ag at (0.000, 0.000, 0.500), Au at (0.000, 0.000, 0.000), Au at (0.000, 0.500, 0.647) and Au at (0.500, 0.500, 0.000).

The uncorrected formation energy comes out at -0.5159 eV per atom.

The following is a PBE calculation of NdAgSnAu after structural relaxation, from the Alexandria database.

The space group is F-43m (No. 216) and the conventional cell measures 7.170, 7.170 and 7.170 Å, with angles of 90.00, 90.00 and 90.00 degrees. Symmetry generates all atoms from Nd at (0.000, 0.000, 0.000), Ag at (0.250, 0.250, 0.250), Sn at (0.000, 0.000, 0.500) and Au at (0.250, 0.250, 0.750).

The formation energy comes out at -0.5367 eV per atom.

Result set for theoretical density: 10.43; 10.23 g cm⁻³, one per record in the order listed.
Result set for final energy: -4.692; -4.262 eV per atom, one per record in the order listed.